[1]
First-principles (GGA-PBE) data for an optimized crystal structure of Al4NiIrRh2, as listed in Alexandria via LeMat-Bulk.

Computed properties:
* energy: -51.631 eV for the cell shown
* magnetization: 0.00 μB/cell
* Fermi-level density of states: 5.2 states/eV/f.u.

Lattice parameters (Å, degrees): 7.3187 7.3187 7.3187 33.59 33.59 33.59
Fractional positions:
Al  0.1234  0.1234  0.1234
Al  0.3738  0.3738  0.3738
Al  0.6262  0.6262  0.6262
Al  0.8766  0.8766  0.8766
Ni  0.0000  0.0000  0.0000
Ir  0.5000  0.5000  0.5000
Rh  0.2509  0.2509  0.2509
Rh  0.7491  0.7491  0.7491

---

[2]
First-principles (GGA-PBE) data for an optimized crystal structure of Al4Ni2IrRu, as listed in Alexandria via LeMat-Bulk.

Computed properties:
* energy: -50.521 eV for the cell shown
* magnetization: 0.00 μB/cell
* Fermi-level density of states: 4.7 states/eV/f.u.

Lattice parameters (Å, degrees): 7.2502 7.2502 7.2502 33.59 33.59 33.59
Fractional positions:
Al  0.1241  0.1241  0.1241
Al  0.3739  0.3739  0.3739
Al  0.6261  0.6261  0.6261
Al  0.8759  0.8759  0.8759
Ni  0.2497  0.2497  0.2497
Ni  0.7503  0.7503  0.7503
Ir  0.5000  0.5000  0.5000
Ru  0.0000  0.0000  0.0000

---

Q: Number 1 is which compound?
A: Al4NiIrRh2

---

Q: Among the records above, which one has the highest energy?
A: Al4Ni2IrRu

---

Q: Among the records above, which one has the lowest Fermi-level density of states?
A: Al4Ni2IrRu